Here is an optimized crystal structure of TmMgAl2 from Alexandria. Energies are from PBE. Values from VASP.

Summary:
Polymorph energy (0 for the lowest one) ... 0.000 eV per atom
DFT formation energy ... -7.21 kcal/mol of atoms
Crystal system ... tetragonal
M_tot ... 0.00 μB/f.u.
Electronic total energy ... -3.700 eV/atom

The structure in Quantum ESPRESSO input format:
```
&SYSTEM
  ibrav = 0, nat = 4, ntyp = 3
/
ATOMIC_SPECIES
Al 26.98 Al.upf
Mg 24.30 Mg.upf
Tm 168.93 Tm.upf
ATOMIC_POSITIONS angstrom
Al 0.334 -2.116 0.407
Mg -1.981 -0.157 0.808
Tm -2.415 -2.774 -0.763
Al -0.767 -0.501 -1.979
CELL_PARAMETERS angstrom
-3.963 -0.314 1.617
-1.535 -1.003 -3.957
0.667 -4.232 0.814
```